A geometry-optimized Cr2OsPb structure. Source: Alexandria via LeMat-Bulk, functional PBEsol.

Values from the calculation:
The value obtained for the final energy is -8.590 eV per atom. Its total magnetization is 0.0 Bohr magnetons per cell. The calculation puts the formation energy from the elements at 2.3 eV/f.u.

Cell: 2.862 3.846 5.589 Å, 90.00 90.00 90.00°
Atoms (fractional coordinates):
Cr 0.000 0.000 0.814
Cr 0.000 0.000 0.186
Os 0.500 0.500 0.000
Pb 0.500 0.500 0.500